# Hf3FeSe PBE optimized geometry
data_Hf3FeSe
_chemical_formula_sum 'Hf3 Fe1 Se1'
_cell_length_a 4.781
_cell_length_b 4.781
_cell_length_c 4.781
_cell_angle_alpha 90.00
_cell_angle_beta 90.00
_cell_angle_gamma 90.00
_symmetry_space_group_name_H-M 'P 1'
_symmetry_Int_Tables_number 1
loop_
_symmetry_equiv_pos_as_xyz
'x,y,z'
loop_
_atom_site_label
_atom_site_type_symbol
_atom_site_fract_x
_atom_site_fract_y
_atom_site_fract_z
_atom_site_occupancy
Hf1 Hf 0.000 0.500 0.000 1
Hf2 Hf 0.000 0.000 0.500 1
Hf3 Hf 0.500 0.000 0.000 1
Fe1 Fe 0.000 0.000 0.000 1
Se1 Se 0.500 0.500 0.500 1
# Distance to the lowest polymorph of the same formula   0.000 eV per atom
# Uncorrected formation energy   0.074 eV/atom
# Size of the total moment   0.00 μB/cell
# Space-group type   Pm-3m, No. 221


# HfTaFeSe2 PBE optimized geometry
data_HfTaFeSe2
_chemical_formula_sum 'Hf1 Ta1 Fe1 Se2'
_cell_length_a 4.898
_cell_length_b 4.527
_cell_length_c 4.898
_cell_angle_alpha 90.00
_cell_angle_beta 90.00
_cell_angle_gamma 90.00
_symmetry_space_group_name_H-M 'P 1'
_symmetry_Int_Tables_number 1
loop_
_symmetry_equiv_pos_as_xyz
'x,y,z'
loop_
_atom_site_label
_atom_site_type_symbol
_atom_site_fract_x
_atom_site_fract_y
_atom_site_fract_z
_atom_site_occupancy
Hf1 Hf 0.500 0.500 0.500 1
Fe1 Fe 0.000 0.500 0.000 1
Se1 Se 0.000 0.000 0.500 1
Se2 Se 0.500 0.000 0.000 1
Ta1 Ta 0.000 0.000 0.000 1
# Uncorrected formation energy   0.667 eV/atom
# Size of the total moment   0.00 μB/cell
# Space-group type   P4/mmm, No. 123


# Hf2TaFeSe PBE optimized geometry
data_Hf2TaFeSe
_chemical_formula_sum 'Hf2 Ta1 Fe1 Se1'
_cell_length_a 4.841
_cell_length_b 4.655
_cell_length_c 4.841
_cell_angle_alpha 90.00
_cell_angle_beta 90.00
_cell_angle_gamma 90.00
_symmetry_space_group_name_H-M 'P 1'
_symmetry_Int_Tables_number 1
loop_
_symmetry_equiv_pos_as_xyz
'x,y,z'
loop_
_atom_site_label
_atom_site_type_symbol
_atom_site_fract_x
_atom_site_fract_y
_atom_site_fract_z
_atom_site_occupancy
Hf1 Hf 0.000 0.000 0.500 1
Hf2 Hf 0.500 0.000 0.000 1
Fe1 Fe 0.500 0.500 0.500 1
Se1 Se 0.000 0.000 0.000 1
Ta1 Ta 0.000 0.500 0.000 1
# Uncorrected formation energy   0.894 eV/atom
# Size of the total moment   0.23 μB/cell
# Space-group type   P4/mmm, No. 123


# HfFe4Si PBE optimized geometry
data_HfFe4Si
_chemical_formula_sum 'Hf2 Fe8 Si2'
_cell_length_a 3.189
_cell_length_b 6.559
_cell_length_c 7.515
_cell_angle_alpha 90.00
_cell_angle_beta 90.00
_cell_angle_gamma 90.00
_symmetry_space_group_name_H-M 'P 1'
_symmetry_Int_Tables_number 1
loop_
_symmetry_equiv_pos_as_xyz
'x,y,z'
loop_
_atom_site_label
_atom_site_type_symbol
_atom_site_fract_x
_atom_site_fract_y
_atom_site_fract_z
_atom_site_occupancy
Hf1 Hf 0.000 0.623 0.750 1
Hf2 Hf 0.000 0.377 0.250 1
Fe1 Fe 0.000 0.000 0.500 1
Fe2 Fe 0.000 0.000 0.000 1
Fe3 Fe 0.500 0.953 0.750 1
Fe4 Fe 0.500 0.047 0.250 1
Fe5 Fe 0.500 0.685 0.047 1
Fe6 Fe 0.500 0.315 0.953 1
Fe7 Fe 0.500 0.685 0.453 1
Fe8 Fe 0.500 0.315 0.547 1
Si1 Si 0.000 0.215 0.750 1
Si2 Si 0.000 0.785 0.250 1
# Uncorrected formation energy   -0.251 eV/atom
# Size of the total moment   13.39 μB/cell
# Space-group type   Pmma, No. 51


# HfFeSi PBE optimized geometry
data_HfFeSi
_chemical_formula_sum 'Hf4 Fe4 Si4'
_cell_length_a 3.227
_cell_length_b 5.418
_cell_length_c 10.207
_cell_angle_alpha 90.00
_cell_angle_beta 90.00
_cell_angle_gamma 90.00
_symmetry_space_group_name_H-M 'P 1'
_symmetry_Int_Tables_number 1
loop_
_symmetry_equiv_pos_as_xyz
'x,y,z'
loop_
_atom_site_label
_atom_site_type_symbol
_atom_site_fract_x
_atom_site_fract_y
_atom_site_fract_z
_atom_site_occupancy
Si1 Si 0.000 0.000 0.115 1
Si2 Si 0.000 0.000 0.885 1
Si3 Si 0.500 0.500 0.615 1
Si4 Si 0.500 0.500 0.385 1
Hf1 Hf 0.500 0.000 0.673 1
Hf2 Hf 0.500 0.000 0.327 1
Hf3 Hf 0.000 0.500 0.173 1
Hf4 Hf 0.000 0.500 0.827 1
Fe1 Fe 0.000 0.257 0.500 1
Fe2 Fe 0.000 0.743 0.500 1
Fe3 Fe 0.500 0.757 0.000 1
Fe4 Fe 0.500 0.243 0.000 1
# Uncorrected formation energy   -0.565 eV/atom
# Size of the total moment   2.23 μB/cell
# Space-group type   Immm, No. 71


# HfFeSi2 PBE optimized geometry
data_HfFeSi2
_chemical_formula_sum 'Hf2 Fe2 Si4'
_cell_length_a 3.932
_cell_length_b 3.932
_cell_length_c 8.971
_cell_angle_alpha 77.34
_cell_angle_beta 77.34
_cell_angle_gamma 90.00
_symmetry_space_group_name_H-M 'P 1'
_symmetry_Int_Tables_number 1
loop_
_symmetry_equiv_pos_as_xyz
'x,y,z'
loop_
_atom_site_label
_atom_site_type_symbol
_atom_site_fract_x
_atom_site_fract_y
_atom_site_fract_z
_atom_site_occupancy
Si1 Si 0.549 0.125 0.250 1
Si2 Si 0.201 0.625 0.250 1
Si3 Si 0.375 0.451 0.750 1
Si4 Si 0.875 0.799 0.750 1
Hf1 Hf 0.000 0.000 0.000 1
Hf2 Hf 0.750 0.250 0.500 1
Fe1 Fe 0.500 0.500 0.000 1
Fe2 Fe 0.250 0.750 0.500 1
# Uncorrected formation energy   0.045 eV/atom
# Size of the total moment   2.69 μB/cell
# Space-group type   I-42d, No. 122


# Hf2Fe2Si PBE optimized geometry
data_Hf2Fe2Si
_chemical_formula_sum 'Hf4 Fe4 Si2'
_cell_length_a 6.001
_cell_length_b 6.001
_cell_length_c 4.229
_cell_angle_alpha 90.00
_cell_angle_beta 90.00
_cell_angle_gamma 90.00
_symmetry_space_group_name_H-M 'P 1'
_symmetry_Int_Tables_number 1
loop_
_symmetry_equiv_pos_as_xyz
'x,y,z'
loop_
_atom_site_label
_atom_site_type_symbol
_atom_site_fract_x
_atom_site_fract_y
_atom_site_fract_z
_atom_site_occupancy
Si1 Si 0.000 0.000 0.000 1
Si2 Si 0.500 0.500 0.000 1
Hf1 Hf 0.185 0.685 0.500 1
Hf2 Hf 0.685 0.815 0.500 1
Hf3 Hf 0.815 0.315 0.500 1
Hf4 Hf 0.315 0.185 0.500 1
Fe1 Fe 0.373 0.873 0.000 1
Fe2 Fe 0.873 0.627 0.000 1
Fe3 Fe 0.627 0.127 0.000 1
Fe4 Fe 0.127 0.373 0.000 1
# Distance to the lowest polymorph of the same formula   0.000 eV per atom
# Uncorrected formation energy   -0.374 eV/atom
# Size of the total moment   0.00 μB/cell
# Space-group type   P4/mbm, No. 127


# HfFeSi PBE optimized geometry
data_HfFeSi
_chemical_formula_sum 'Hf4 Fe4 Si4'
_cell_length_a 3.978
_cell_length_b 6.504
_cell_length_c 6.904
_cell_angle_alpha 90.00
_cell_angle_beta 90.00
_cell_angle_gamma 90.00
_symmetry_space_group_name_H-M 'P 1'
_symmetry_Int_Tables_number 1
loop_
_symmetry_equiv_pos_as_xyz
'x,y,z'
loop_
_atom_site_label
_atom_site_type_symbol
_atom_site_fract_x
_atom_site_fract_y
_atom_site_fract_z
_atom_site_occupancy
Si1 Si 0.000 0.286 0.814 1
Si2 Si 0.000 0.714 0.814 1
Si3 Si 0.500 0.786 0.314 1
Si4 Si 0.500 0.214 0.314 1
Hf1 Hf 0.000 0.500 0.202 1
Hf2 Hf 0.500 0.000 0.702 1
Hf3 Hf 0.000 0.000 0.109 1
Hf4 Hf 0.500 0.500 0.609 1
Fe1 Fe 0.000 0.818 0.485 1
Fe2 Fe 0.000 0.182 0.485 1
Fe3 Fe 0.500 0.318 0.985 1
Fe4 Fe 0.500 0.682 0.985 1
# Uncorrected formation energy   -0.574 eV/atom
# Size of the total moment   3.41 μB/cell
# Space-group type   Imm2, No. 44


# Hf3Fe2Si3 PBE optimized geometry
data_Hf3Fe2Si3
_chemical_formula_sum 'Hf6 Fe4 Si6'
_cell_length_a 5.323
_cell_length_b 5.323
_cell_length_c 12.837
_cell_angle_alpha 90.00
_cell_angle_beta 90.00
_cell_angle_gamma 137.72
_symmetry_space_group_name_H-M 'P 1'
_symmetry_Int_Tables_number 1
loop_
_symmetry_equiv_pos_as_xyz
'x,y,z'
loop_
_atom_site_label
_atom_site_type_symbol
_atom_site_fract_x
_atom_site_fract_y
_atom_site_fract_z
_atom_site_occupancy
Hf1 Hf 0.922 0.078 0.386 1
Hf2 Hf 0.078 0.922 0.614 1
Hf3 Hf 0.922 0.078 0.114 1
Hf4 Hf 0.078 0.922 0.886 1
Hf5 Hf 0.636 0.364 0.250 1
Hf6 Hf 0.364 0.636 0.750 1
Fe1 Fe 0.780 0.220 0.918 1
Fe2 Fe 0.220 0.780 0.082 1
Fe3 Fe 0.780 0.220 0.582 1
Fe4 Fe 0.220 0.780 0.418 1
Si1 Si 0.612 0.388 0.458 1
Si2 Si 0.388 0.612 0.542 1
Si3 Si 0.612 0.388 0.042 1
Si4 Si 0.388 0.612 0.958 1
Si5 Si 0.335 0.665 0.250 1
Si6 Si 0.665 0.335 0.750 1
# Uncorrected formation energy   -0.772 eV/atom
# Size of the total moment   0.00 μB/cell
# Space-group type   Cmcm, No. 63


# Hf2Fe2Si PBE optimized geometry
data_Hf2Fe2Si
_chemical_formula_sum 'Hf2 Fe2 Si1'
_cell_length_a 3.221
_cell_length_b 3.221
_cell_length_c 8.295
_cell_angle_alpha 78.80
_cell_angle_beta 78.80
_cell_angle_gamma 90.00
_symmetry_space_group_name_H-M 'P 1'
_symmetry_Int_Tables_number 1
loop_
_symmetry_equiv_pos_as_xyz
'x,y,z'
loop_
_atom_site_label
_atom_site_type_symbol
_atom_site_fract_x
_atom_site_fract_y
_atom_site_fract_z
_atom_site_occupancy
Si1 Si 0.000 0.000 0.000 1
Hf1 Hf 0.389 0.389 0.221 1
Hf2 Hf 0.611 0.611 0.779 1
Fe1 Fe 0.750 0.250 0.500 1
Fe2 Fe 0.250 0.750 0.500 1
# Distance to the lowest polymorph of the same formula   0.360 eV per atom
# Uncorrected formation energy   -0.014 eV/atom
# Size of the total moment   3.16 μB/cell
# Space-group type   I4/mmm, No. 139


# HfFeSi2 PBE optimized geometry
data_HfFeSi2
_chemical_formula_sum 'Hf4 Fe4 Si8'
_cell_length_a 3.932
_cell_length_b 6.158
_cell_length_c 9.354
_cell_angle_alpha 90.00
_cell_angle_beta 90.00
_cell_angle_gamma 90.00
_symmetry_space_group_name_H-M 'P 1'
_symmetry_Int_Tables_number 1
loop_
_symmetry_equiv_pos_as_xyz
'x,y,z'
loop_
_atom_site_label
_atom_site_type_symbol
_atom_site_fract_x
_atom_site_fract_y
_atom_site_fract_z
_atom_site_occupancy
Hf1 Hf 0.750 0.777 0.320 1
Hf2 Hf 0.750 0.277 0.180 1
Hf3 Hf 0.250 0.223 0.680 1
Hf4 Hf 0.250 0.723 0.820 1
Fe1 Fe 0.250 0.088 0.403 1
Fe2 Fe 0.750 0.912 0.597 1
Fe3 Fe 0.250 0.588 0.097 1
Fe4 Fe 0.750 0.412 0.903 1
Si1 Si 0.750 0.744 0.029 1
Si2 Si 0.250 0.256 0.971 1
Si3 Si 0.750 0.244 0.471 1
Si4 Si 0.250 0.756 0.529 1
Si5 Si 0.750 0.042 0.841 1
Si6 Si 0.250 0.458 0.341 1
Si7 Si 0.750 0.542 0.659 1
Si8 Si 0.250 0.958 0.159 1
# Uncorrected formation energy   -0.661 eV/atom
# Size of the total moment   0.00 μB/cell
# Space-group type   Pnma, No. 62


# Hf3FeSi PBE optimized geometry
data_Hf3FeSi
_chemical_formula_sum 'Hf3 Fe1 Si1'
_cell_length_a 4.703
_cell_length_b 4.703
_cell_length_c 4.703
_cell_angle_alpha 90.00
_cell_angle_beta 90.00
_cell_angle_gamma 90.00
_symmetry_space_group_name_H-M 'P 1'
_symmetry_Int_Tables_number 1
loop_
_symmetry_equiv_pos_as_xyz
'x,y,z'
loop_
_atom_site_label
_atom_site_type_symbol
_atom_site_fract_x
_atom_site_fract_y
_atom_site_fract_z
_atom_site_occupancy
Si1 Si 0.500 0.500 0.500 1
Hf1 Hf 0.000 0.500 0.000 1
Hf2 Hf 0.000 0.000 0.500 1
Hf3 Hf 0.500 0.000 0.000 1
Fe1 Fe 0.000 0.000 0.000 1
# Distance to the lowest polymorph of the same formula   0.000 eV per atom
# Uncorrected formation energy   0.229 eV/atom
# Size of the total moment   0.00 μB/cell
# Space-group type   Pm-3m, No. 221